This record from Alexandria via LeMat-Bulk describes a relaxed structure of Ca2HoMnS4. The functional is PBE.

Lattice parameters (Å, degrees): 6.7270 3.9053 6.8188 90.00 109.77 90.00
With the nearest neighbours (Å) after each atom.
Space group P2/m (No. 10)
Inequivalent atoms, fractional coordinates:
Ca (0.0000, 0.0000, 0.0000) (multiplicity 1)  6 S 2.83-2.85
Ca (0.5000, 0.5000, 0.0000) (multiplicity 1)  6 S 2.79-2.81
Ho (0.0000, 0.5000, 0.5000) (multiplicity 1)  6 S 2.73-2.74
Mn (0.5000, 0.0000, 0.5000) (multiplicity 1)  6 S 2.67-2.72
S (0.2501, 0.0000, 0.7402) (multiplicity 2)  1 Mn 2.72, 2 Ho 2.73, 3 Ca 2.79-2.83
S (0.2626, 0.5000, 0.2691) (multiplicity 2)  2 Mn 2.67, 1 Ho 2.74, 3 Ca 2.81-2.85

electronic total energy = -47.7 eV per cell
energy relative to the elements, uncorrected = -1.680 eV per atom

This record from Alexandria via LeMat-Bulk describes a relaxed structure of Ca3Ho3MnSe8. The functional is PBE.

Lattice parameters (Å, degrees): 8.1407 8.1407 20.4304 90.00 90.00 120.00
With the nearest neighbours (Å) after each atom.
Space group R-3m (No. 166, hexagonal axes)
Inequivalent atoms, fractional coordinates:
Ca (0.0000, 0.5000, 0.0000) (multiplicity 9)  6 Se 2.93-2.95
Ho (0.0000, 0.5000, 0.5000) (multiplicity 9)  6 Se 2.86-2.87
Mn (0.0000, 0.0000, 0.5000) (multiplicity 3)  6 Se 2.79
Se (0.0000, 0.0000, 0.2477) (multiplicity 6)  3 Ho 2.87, 3 Ca 2.93
Se (0.0072, 0.5036, 0.2443) (multiplicity 18)  1 Mn 2.79, 2 Ho 2.86, 2 Ca 2.95

electronic total energy = -247.0 eV per cell
energy relative to the elements, uncorrected = -1.703 eV per atom

This record from Alexandria via LeMat-Bulk describes a relaxed structure of CaHo2MoN4. The functional is PBE.

Lattice parameters (Å, degrees): 3.3391 12.0083 12.1111 90.00 90.00 90.00
With the nearest neighbours (Å) after each atom.
Space group Cmcm (No. 63)
Inequivalent atoms, fractional coordinates:
Ca (0.0000, 0.0706, 0.2500) (multiplicity 4)  2 N 2.41
Ho (0.0000, 0.3728, 0.0393) (multiplicity 8)  5 N 2.30-2.51
Mo (0.0000, 0.1855, 0.7500) (multiplicity 4)  2 N 1.87
N (0.0000, 0.0000, 0.0000) (multiplicity 4)  4 Ho 2.31
N (0.0000, 0.2624, 0.6157) (multiplicity 8)  1 Mo 1.87
N (0.0000, 0.4260, 0.2500) (multiplicity 4)  2 Mo 2.14

electronic total energy = -256.0 eV per cell
energy relative to the elements, uncorrected = -1.090 eV per atom